CoCuRe3 | GGA-PBEsol | optimized geometry

Results
Space group: Pm-3m (221)
Raw total energy in eV/atom: -8.122
Mass density in Mg/m³: 13.89

abc: 4.3342 4.3342 4.3342
angles: 90.00 90.00 90.00
Closest atoms and distances in Å follow each position.
Sites, in units of the cell vectors:
Re 0.0000 0.0000 0.5000  2 Cu 2.17
Re 0.5000 0.0000 0.0000  2 Cu 2.17
Re 0.0000 0.5000 0.0000  2 Cu 2.17
Cu 0.0000 0.0000 0.0000  6 Re 2.17
Co 0.5000 0.5000 0.5000  12 Re 3.06